Record 1
Here is Tb4SbPd after structural relaxation from Alexandria via LeMat-Bulk. Energies are from PBE.

The space group is Cmcm (No. 63) and the conventional cell measures 5.4602, 20.2988 and 6.3331 Å, with angles of 90.00, 90.00 and 90.00 degrees. The asymmetric unit holds Tb at (0.0000, 0.0525, 0.2500), Tb at (0.0000, 0.2030, 0.0026), Tb at (0.0000, 0.3880, 0.2500), Sb at (0.0000, 0.3482, 0.7500) and Pd at (0.0000, 0.0822, 0.7500).

The volume comes out at 701.9 Å³ per cell. For the uncorrected energy, the calculation gives -5.158 eV/atom.

Record 2
Here is Tb3SbPd12 after structural relaxation from Alexandria via LeMat-Bulk. Energies are from PBE.

The space group is P4/mmm (No. 123) and the conventional cell measures 4.1211, 4.1211 and 16.3867 Å, with angles of 90.00, 90.00 and 90.00 degrees. The asymmetric unit holds Tb at (0.0000, 0.0000, 0.0000), Tb at (0.0000, 0.0000, 0.2499), Sb at (0.0000, 0.0000, 0.5000), Pd at (0.0000, 0.5000, 0.1268), Pd at (0.0000, 0.5000, 0.3817), Pd at (0.5000, 0.5000, 0.0000), Pd at (0.5000, 0.5000, 0.2562) and Pd at (0.5000, 0.5000, 0.5000).

The volume comes out at 278.3 Å³ per cell. For the uncorrected energy, the calculation gives -5.771 eV/atom.